Record 1
## Tb6Y3Er2Sc (GGA-PBE)

Data for an optimized crystal structure of Tb6Y3Er2Sc.

Calculated values
The value obtained for the total magnetic moment is 0.00 Bohr magnetons per cell. The value obtained for the mass density is 7129 kg/m³. The calculation puts the volume at 31.05 Å³ per atom. As for the formation energy: 0.029 eV/atom. Its energy is -5.191 eV/atom. The space-group type is No. 12.

```
Tb6Y3Er2Sc
1.0
-4.127 2.568 3.714
-0.035 -6.052 -0.884
8.546 -0.184 7.950
Tb Er Y Sc
6 2 3 1
direct
0.918 0.587 0.754
0.250 0.250 0.754
0.082 0.413 0.246
0.750 0.750 0.246
0.413 0.082 0.246
0.587 0.918 0.754
0.333 0.667 0.000
0.667 0.333 0.000
0.500 0.500 0.500
0.167 0.833 0.500
0.833 0.167 0.500
0.000 0.000 0.000
```


Record 2
## Tb2Y6ErSc (GGA-PBE)

Data for an optimized crystal structure of Tb2Y6ErSc.

Calculated values
The value obtained for the total magnetic moment is 0.00 Bohr magnetons per cell. The value obtained for the mass density is 5598 kg/m³. The calculation puts the volume at 31.55 Å³ per atom. As for the formation energy: 0.123 eV/atom. Its energy is -5.771 eV/atom. The space-group type is No. 15.

```
Tb2Y6ErSc
1.0
-8.266 4.604 1.180
-2.975 -5.135 -6.326
0.113 -3.273 8.032
Y Tb Er Sc
12 4 2 2
direct
0.944 0.876 0.248
0.884 0.295 0.504
0.384 0.504 0.295
0.689 0.006 0.568
0.616 0.496 0.705
0.444 0.248 0.876
0.311 0.994 0.432
0.189 0.568 0.006
0.811 0.432 0.994
0.056 0.124 0.752
0.556 0.752 0.124
0.116 0.705 0.496
0.952 0.702 0.801
0.452 0.801 0.702
0.548 0.199 0.298
0.048 0.298 0.199
0.250 0.979 0.021
0.750 0.021 0.979
0.250 0.411 0.589
0.750 0.589 0.411
```


Record 3
## Tb5YErSc2 (GGA-PBE)

Data for an optimized crystal structure of Tb5YErSc2.

Calculated values
The value obtained for the total magnetic moment is 0.00 Bohr magnetons per cell. The value obtained for the mass density is 6774 kg/m³. The calculation puts the volume at 31.07 Å³ per atom. As for the formation energy: 0.167 eV/atom. Its energy is -5.038 eV/atom. The space-group type is No. 36.

```
Tb5YErSc2
1.0
-3.198 -4.165 1.937
0.561 -1.739 -10.901
7.615 -5.274 1.233
Tb Y Sc Er
10 2 4 2
direct
0.608 0.216 0.547
0.532 0.064 0.248
0.988 0.976 0.511
0.734 0.468 0.832
0.392 0.784 0.047
0.012 0.024 0.011
0.306 0.612 0.719
0.266 0.532 0.332
0.694 0.388 0.219
0.468 0.936 0.748
0.815 0.630 0.517
0.185 0.370 0.017
0.114 0.227 0.326
0.866 0.731 0.202
0.134 0.269 0.702
0.886 0.773 0.826
0.402 0.803 0.421
0.598 0.197 0.921
```


Record 4
## TbY2Er6Sc3 (GGA-PBE)

Data for an optimized crystal structure of TbY2Er6Sc3.

Calculated values
The value obtained for the total magnetic moment is 0.00 Bohr magnetons per cell. The value obtained for the mass density is 6952 kg/m³. The calculation puts the volume at 29.36 Å³ per atom. As for the formation energy: 0.046 eV/atom. Its energy is -5.281 eV/atom. The space-group type is No. 12.

```
TbY2Er6Sc3
1.0
-5.551 1.724 -1.530
2.528 -4.731 -2.712
-3.278 -5.805 9.287
Er Sc Tb Y
6 3 1 2
direct
0.420 0.087 0.260
0.913 0.580 0.740
0.246 0.246 0.740
0.754 0.754 0.260
0.580 0.913 0.740
0.087 0.420 0.260
0.500 0.500 0.500
0.167 0.833 0.500
0.833 0.167 0.500
0.000 0.000 0.000
0.333 0.667 0.000
0.667 0.333 0.000
```


Record 5
## Tb6YEr3Sc2 (GGA-PBE)

Data for an optimized crystal structure of Tb6YEr3Sc2.

Calculated values
The value obtained for the total magnetic moment is 0.00 Bohr magnetons per cell. The value obtained for the mass density is 7483 kg/m³. The calculation puts the volume at 30.22 Å³ per atom. As for the formation energy: 0.036 eV/atom. Its energy is -5.014 eV/atom. The space-group type is No. 12.

```
Tb6YEr3Sc2
1.0
-4.592 -0.833 3.880
1.391 -4.327 -4.023
8.231 -2.943 7.533
Er Tb Y Sc
3 6 1 2
direct
0.167 0.833 0.500
0.500 0.500 0.500
0.833 0.167 0.500
0.581 0.917 0.754
0.746 0.746 0.246
0.917 0.581 0.754
0.419 0.083 0.246
0.254 0.254 0.754
0.083 0.419 0.246
0.000 0.000 0.000
0.667 0.333 0.000
0.333 0.667 0.000
```


Record 6
## TbYErSc (GGA-PBE)

Data for an optimized crystal structure of TbYErSc.

Calculated values
The value obtained for the distance to the lowest polymorph of the same formula is 0 kJ/mol of formula units. The value obtained for the total magnetic moment is 0.00 Bohr magnetons per cell. The value obtained for the mass density is 6432 kg/m³. The calculation puts the volume at 29.69 Å³ per atom. As for the formation energy: 0.046 eV/atom. Its energy is -5.451 eV/atom. The space-group type is No. 119.

```
TbYErSc
1.0
4.936 0.000 0.000
0.000 4.932 0.000
-2.468 -2.466 4.879
Y Sc Tb Er
1 1 1 1
direct
0.120 0.120 0.239
0.870 0.370 0.739
0.370 0.870 0.740
0.620 0.620 0.240
```


Record 7
## Tb3Y2Er6Sc (GGA-PBE)

Data for an optimized crystal structure of Tb3Y2Er6Sc.

Calculated values
The value obtained for the total magnetic moment is 0.00 Bohr magnetons per cell. The value obtained for the mass density is 7705 kg/m³. The calculation puts the volume at 30.59 Å³ per atom. As for the formation energy: 0.030 eV/atom. Its energy is -5.014 eV/atom. The space-group type is No. 12.

```
Tb3Y2Er6Sc
1.0
6.080 0.002 -0.003
-3.037 5.267 -0.003
-1.005 -1.740 11.462
Er Tb Sc Y
6 3 1 2
direct
0.751 0.751 0.248
0.588 0.918 0.752
0.918 0.588 0.752
0.082 0.412 0.248
0.249 0.249 0.752
0.412 0.082 0.248
0.167 0.833 0.500
0.833 0.167 0.500
0.500 0.500 0.500
0.000 0.000 0.000
0.333 0.667 0.000
0.667 0.333 0.000
```


Record 8
## TbYEr3Sc (GGA-PBE)

Data for an optimized crystal structure of TbYEr3Sc.

Calculated values
The value obtained for the total magnetic moment is 0.00 Bohr magnetons per cell. The value obtained for the mass density is 7336 kg/m³. The calculation puts the volume at 29.98 Å³ per atom. As for the formation energy: 0.038 eV/atom. Its energy is -5.147 eV/atom. The space-group type is No. 11.

```
TbYEr3Sc
1.0
4.943 0.000 0.000
0.000 7.705 -1.141
0.000 -3.232 9.923
Er Sc Tb Y
6 2 2 2
direct
0.750 0.380 0.210
0.750 0.875 0.044
0.250 0.632 0.458
0.250 0.620 0.790
0.750 0.368 0.542
0.250 0.125 0.956
0.250 0.122 0.622
0.750 0.878 0.378
0.750 0.373 0.872
0.250 0.627 0.128
0.250 0.124 0.296
0.750 0.876 0.704
```